(1)
# LaFe2Re | Alexandria | GGA-PBE | relaxed
# energy relative to the lowest polymorph listed for this composition	2.28	eV/f.u.
# calculated density	9.788	g cm⁻³
# E_form	0.72	eV/atom
data_LaFe2Re
_symmetry_space_group_name_H-M 'I -4 2 d'
_symmetry_Int_Tables_number 122
_symmetry_space_group_name_Hall 'I -4 2bw'
_cell_length_a 7.0102
_cell_length_b 7.0102
_cell_length_c 6.0319
_cell_angle_alpha 90.00
_cell_angle_beta 90.00
_cell_angle_gamma 90.00
loop_
_atom_site_label
_atom_site_type_symbol
_atom_site_fract_x
_atom_site_fract_y
_atom_site_fract_z
La1 La 0.0000 0.0000 0.0000
Fe1 Fe 0.1874 0.7500 0.6250
Re1 Re 0.0000 0.0000 0.5000

---

(2)
# LaFe3Re | Alexandria | GGA-PBE | relaxed
# energy relative to the lowest polymorph listed for this composition	6.95	eV/f.u.
# calculated density	9.482	g cm⁻³
# E_form	2.15	eV/atom
data_LaFe3Re
_symmetry_space_group_name_H-M 'P m -3 m'
_symmetry_Int_Tables_number 221
_symmetry_space_group_name_Hall '-P 4 2 3'
_cell_length_a 4.4186
_cell_length_b 4.4186
_cell_length_c 4.4186
_cell_angle_alpha 90.00
_cell_angle_beta 90.00
_cell_angle_gamma 90.00
loop_
_atom_site_label
_atom_site_type_symbol
_atom_site_fract_x
_atom_site_fract_y
_atom_site_fract_z
La1 La 0.0000 0.0000 0.0000
Fe1 Fe 0.0000 0.0000 0.5000
Re1 Re 0.5000 0.5000 0.5000